Entry 1:
PmLuPd4: relaxed, PBE.

a = 5.454 Å, b = 5.454 Å, c = 5.454 Å
α = 60.00°, β = 60.00°, γ = 60.00°
Element x y z (fractional)
Lu (0.000, 0.000, 0.000)
Pd (0.625, 0.625, 0.124)
Pd (0.625, 0.124, 0.625)
Pd (0.625, 0.625, 0.625)
Pd (0.124, 0.625, 0.625)
Pm (0.250, 0.250, 0.250)


Entry 2:
PmLu2Pd: relaxed, PBE.

Computed properties:
Polymorph energy (0 for the lowest one) ... 0.000 eV per formula unit

a = 3.504 Å, b = 3.504 Å, c = 8.503 Å
α = 90.00°, β = 90.00°, γ = 90.00°
Element x y z (fractional)
Lu (0.000, 0.000, 0.807)
Lu (0.000, 0.000, 0.193)
Pd (0.500, 0.500, 0.000)
Pm (0.500, 0.500, 0.500)


Entry 3:
Pm2LuPd: relaxed, PBE.

Computed properties:
Polymorph energy (0 for the lowest one) ... 0.000 eV per formula unit

a = 3.686 Å, b = 3.686 Å, c = 8.192 Å
α = 90.00°, β = 90.00°, γ = 90.00°
Element x y z (fractional)
Lu (0.500, 0.500, 0.500)
Pd (0.500, 0.500, 0.000)
Pm (0.000, 0.000, 0.792)
Pm (0.000, 0.000, 0.208)


Entry 4:
Pm2LuPd: relaxed, PBE.

Computed properties:
Polymorph energy (0 for the lowest one) ... 0.522 eV per formula unit

a = 3.783 Å, b = 5.331 Å, c = 5.331 Å
α = 90.00°, β = 90.00°, γ = 90.00°
Element x y z (fractional)
Lu (0.500, 0.000, 0.000)
Pd (0.500, 0.500, 0.500)
Pm (0.000, 0.000, 0.500)
Pm (0.000, 0.500, 0.000)


Entry 5:
Pm2LuPd: relaxed, PBE.

Computed properties:
Polymorph energy (0 for the lowest one) ... 1.681 eV per formula unit

a = 3.446 Å, b = 3.446 Å, c = 11.359 Å
α = 81.27°, β = 81.27°, γ = 60.00°
Element x y z (fractional)
Lu (0.500, 0.500, 0.500)
Pd (0.000, 0.000, 0.000)
Pm (0.080, 0.080, 0.760)
Pm (0.920, 0.920, 0.240)


Entry 6:
PmLu2Pd: relaxed, PBE.

Computed properties:
Polymorph energy (0 for the lowest one) ... 0.566 eV per formula unit

a = 3.647 Å, b = 3.647 Å, c = 9.870 Å
α = 79.35°, β = 79.35°, γ = 60.00°
Element x y z (fractional)
Lu (0.269, 0.269, 0.193)
Lu (0.731, 0.731, 0.807)
Pd (0.000, 0.000, 0.000)
Pm (0.500, 0.500, 0.500)


Entry 7:
PmLuPdPt: relaxed, PBE.

a = 4.971 Å, b = 4.971 Å, c = 4.971 Å
α = 60.00°, β = 60.00°, γ = 60.00°
Element x y z (fractional)
Lu (0.500, 0.500, 0.500)
Pd (0.250, 0.250, 0.250)
Pt (0.750, 0.750, 0.750)
Pm (0.000, 0.000, 0.000)


Entry 8:
PmLuPdRh: relaxed, PBE.

a = 4.921 Å, b = 4.921 Å, c = 4.921 Å
α = 60.00°, β = 60.00°, γ = 60.00°
Element x y z (fractional)
Lu (0.750, 0.750, 0.750)
Rh (0.500, 0.500, 0.500)
Pd (0.000, 0.000, 0.000)
Pm (0.250, 0.250, 0.250)


| no. | electronic total energy (eV per atom) | energy relative to the elements (meV per atom) | theoretical density (kg/m3) |
| --- | --- | --- | --- |
| 1 | -5.807 | -800 | 10792 |
| 2 | -5.207 | -461 | 9567 |
| 3 | -5.135 | -332 | 8527 |
| 4 | -5.005 | -201 | 8824 |
| 5 | -4.715 | 89 | 8248 |
| 6 | -5.066 | -319 | 8989 |
| 7 | -6.149 | -1023 | 11878 |
| 8 | -6.292 | -838 | 10429 |